[1]
{"formula": "Zn4Co", "functional": "GGA-PBE", "state": "relaxed", "lattice_angstrom": [[-2.890, 2.968, -1.904], [-3.519, -2.585, 1.312], [-0.226, 2.301, 3.930]], "species": ["Co", "Zn", "Zn", "Zn", "Zn"], "fractional_positions": [[0.500, 0.500, 0.500], [0.000, 0.500, 0.500], [0.500, 0.500, 0.000], [0.000, 0.000, 0.000], [0.500, 0.000, 0.500]], "n_ef_per_ev_atom": 0.673, "e_above_lowest_polymorph_mev_per_atom": 469, "total_magnetization_mub_per_cell": 0.000, "energy_ev_per_atom": -1.997}


[2]
{"formula": "Tb4PmHo2Tm", "functional": "GGA-PBE", "state": "relaxed", "lattice_angstrom": [[9.321, -0.042, -1.728], [-0.048, 9.321, -1.728], [-5.895, -5.899, 8.272]], "species": ["Tb", "Tb", "Tb", "Tb", "Tb", "Tb", "Tb", "Tb", "Ho", "Ho", "Ho", "Ho", "Tm", "Tm", "Pm", "Pm"], "fractional_positions": [[0.748, 0.752, 0.501], [0.253, 0.750, 0.501], [0.252, 0.248, 0.499], [0.750, 0.247, 0.999], [0.252, 0.248, 0.001], [0.250, 0.753, 0.001], [0.747, 0.250, 0.499], [0.748, 0.752, 0.999], [0.500, 0.000, 0.500], [0.500, 0.500, 0.000], [0.000, 0.000, 0.500], [0.500, 0.000, 0.000], [0.500, 0.500, 0.500], [0.000, 0.000, 0.000], [0.000, 0.500, 0.500], [0.000, 0.500, 0.000]], "n_ef_per_ev_atom": 2.177, "total_magnetization_mub_per_cell": 6.444, "energy_ev_per_atom": -4.177}


[3]
{"formula": "CdMoRu", "functional": "GGA-PBE", "state": "relaxed", "lattice_angstrom": [[2.852, 0.000, 0.000], [-1.426, 2.470, 0.000], [0.000, 0.000, 7.077]], "species": ["Ru", "Mo", "Cd"], "fractional_positions": [[0.333, 0.667, 0.646], [0.667, 0.333, 0.360], [0.000, 0.000, 0.995]], "n_ef_per_ev_atom": 0.633, "e_above_lowest_polymorph_mev_per_atom": 120, "total_magnetization_mub_per_cell": 0.000, "energy_ev_per_atom": -6.812}


[4]
{"formula": "PrDy5Er3", "functional": "GGA-PBE", "state": "relaxed", "lattice_angstrom": [[3.022, 9.478, 0.213], [-3.022, 9.478, 0.213], [0.000, 3.960, 10.507]], "species": ["Er", "Er", "Er", "Er", "Er", "Er", "Dy", "Dy", "Dy", "Dy", "Dy", "Dy", "Dy", "Dy", "Dy", "Dy", "Pr", "Pr"], "fractional_positions": [[0.410, 0.942, 0.133], [0.590, 0.058, 0.867], [0.942, 0.410, 0.633], [0.058, 0.590, 0.367], [0.000, 0.000, 0.500], [0.000, 0.000, 0.000], [0.086, 0.585, 0.699], [0.588, 0.412, 0.250], [0.914, 0.415, 0.301], [0.585, 0.086, 0.199], [0.569, 0.096, 0.530], [0.431, 0.904, 0.470], [0.415, 0.914, 0.801], [0.904, 0.431, 0.970], [0.096, 0.569, 0.030], [0.412, 0.588, 0.750], [0.901, 0.099, 0.750], [0.099, 0.901, 0.250]], "n_ef_per_ev_atom": 1.601, "e_above_lowest_polymorph_mev_per_atom": 0, "total_magnetization_mub_per_cell": 0.000, "energy_ev_per_atom": -4.270}


[5]
{"formula": "Cs12Ga3Hg5", "functional": "GGA-PBE", "state": "relaxed", "lattice_angstrom": [[-0.983, -0.566, 19.513], [18.481, -2.870, -5.679], [-6.126, 17.449, -6.328]], "species": ["Hg", "Hg", "Hg", "Hg", "Hg", "Hg", "Hg", "Hg", "Hg", "Hg", "Hg", "Hg", "Hg", "Hg", "Hg", "Hg", "Hg", "Hg", "Hg", "Hg", "Cs", "Cs", "Cs", "Cs", "Cs", "Cs", "Cs", "Cs", "Cs", "Cs", "Cs", "Cs", "Cs", "Cs", "Cs", "Cs", "Cs", "Cs", "Cs", "Cs", "Cs", "Cs", "Cs", "Cs", "Cs", "Cs", "Cs", "Cs", "Cs", "Cs", "Cs", "Cs", "Cs", "Cs", "Cs", "Cs", "Cs", "Cs", "Cs", "Cs", "Cs", "Cs", "Cs", "Cs", "Cs", "Cs", "Cs", "Cs", "Ga", "Ga", "Ga", "Ga", "Ga", "Ga", "Ga", "Ga", "Ga", "Ga", "Ga", "Ga"], "fractional_positions": [[0.875, 0.250, 0.625], [0.000, 0.000, 0.500], [0.500, 0.000, 0.500], [0.000, 0.500, 0.500], [0.375, 0.125, 0.750], [0.125, 0.375, 0.250], [0.500, 0.500, 0.500], [0.500, 0.500, 0.000], [0.750, 0.625, 0.375], [0.375, 0.250, 0.125], [0.000, 0.500, 0.000], [0.875, 0.625, 0.750], [0.250, 0.375, 0.625], [0.625, 0.750, 0.875], [0.625, 0.875, 0.250], [0.000, 0.000, 0.000], [0.750, 0.125, 0.875], [0.250, 0.875, 0.125], [0.500, 0.000, 0.000], [0.125, 0.750, 0.375], [0.229, 0.672, 0.097], [0.328, 0.557, 0.425], [0.575, 0.632, 0.403], [0.575, 0.943, 0.672], [0.443, 0.771, 0.868], [0.597, 0.729, 0.672], [0.729, 0.132, 0.057], [0.868, 0.271, 0.443], [0.828, 0.925, 0.057], [0.597, 0.868, 0.425], [0.368, 0.425, 0.097], [0.868, 0.597, 0.925], [0.328, 0.771, 0.403], [0.771, 0.443, 0.368], [0.097, 0.925, 0.368], [0.632, 0.575, 0.903], [0.075, 0.903, 0.132], [0.271, 0.403, 0.828], [0.271, 0.868, 0.943], [0.097, 0.172, 0.229], [0.403, 0.271, 0.328], [0.828, 0.903, 0.271], [0.672, 0.229, 0.597], [0.132, 0.403, 0.075], [0.943, 0.368, 0.271], [0.403, 0.132, 0.575], [0.943, 0.575, 0.172], [0.557, 0.328, 0.925], [0.172, 0.097, 0.729], [0.057, 0.425, 0.828], [0.903, 0.828, 0.771], [0.771, 0.328, 0.903], [0.229, 0.557, 0.632], [0.172, 0.075, 0.943], [0.729, 0.597, 0.172], [0.425, 0.057, 0.328], [0.057, 0.632, 0.729], [0.925, 0.097, 0.868], [0.443, 0.672, 0.075], [0.075, 0.172, 0.443], [0.672, 0.443, 0.575], [0.925, 0.828, 0.557], [0.903, 0.075, 0.632], [0.425, 0.368, 0.597], [0.557, 0.229, 0.132], [0.132, 0.729, 0.557], [0.632, 0.057, 0.229], [0.368, 0.943, 0.771], [0.875, 0.125, 0.250], [0.625, 0.250, 0.375], [0.125, 0.875, 0.750], [0.625, 0.375, 0.750], [0.375, 0.750, 0.625], [0.375, 0.625, 0.250], [0.750, 0.375, 0.125], [0.250, 0.125, 0.375], [0.875, 0.750, 0.125], [0.750, 0.875, 0.625], [0.125, 0.250, 0.875], [0.250, 0.625, 0.875]], "n_ef_per_ev_atom": 1.083, "total_magnetization_mub_per_cell": 10.828, "energy_ev_per_atom": -0.963}


What did the second record say?
{"formula": "Tb4PmHo2Tm", "functional": "GGA-PBE", "state": "relaxed", "lattice_angstrom": [[9.321, -0.042, -1.728], [-0.048, 9.321, -1.728], [-5.895, -5.899, 8.272]], "species": ["Tb", "Tb", "Tb", "Tb", "Tb", "Tb", "Tb", "Tb", "Ho", "Ho", "Ho", "Ho", "Tm", "Tm", "Pm", "Pm"], "fractional_positions": [[0.748, 0.752, 0.501], [0.253, 0.750, 0.501], [0.252, 0.248, 0.499], [0.750, 0.247, 0.999], [0.252, 0.248, 0.001], [0.250, 0.753, 0.001], [0.747, 0.250, 0.499], [0.748, 0.752, 0.999], [0.500, 0.000, 0.500], [0.500, 0.500, 0.000], [0.000, 0.000, 0.500], [0.500, 0.000, 0.000], [0.500, 0.500, 0.500], [0.000, 0.000, 0.000], [0.000, 0.500, 0.500], [0.000, 0.500, 0.000]], "n_ef_per_ev_atom": 2.177, "total_magnetization_mub_per_cell": 6.444, "energy_ev_per_atom": -4.177}